# TbSe | the Alexandria database | SCAN | single point on PBEsol structure
# total magnetization: 0.0 μB per formula unit
# calculated total energy: -283.06 eV per cell
data_TbSe
_chemical_formula_sum 'Tb4 Se4'
_cell_length_a 5.702
_cell_length_b 5.702
_cell_length_c 5.702
_cell_angle_alpha 90.00
_cell_angle_beta 90.00
_cell_angle_gamma 90.00
_symmetry_space_group_name_H-M 'F m -3 m'
_symmetry_Int_Tables_number 225
_symmetry_space_group_name_Hall '-F 4 2 3'
loop_
_atom_site_label
_atom_site_fract_x
_atom_site_fract_y
_atom_site_fract_z
Tb1 0.000 0.000 0.000
Se1 0.000 0.000 0.500


# Tb2Se3 | the Alexandria database | SCAN | single point on PBEsol structure
# total magnetization: 0.0 μB per formula unit
# calculated total energy: -657.15 eV per cell
data_Tb2Se3
_chemical_formula_sum 'Tb8 Se12'
_cell_length_a 11.063
_cell_length_b 3.990
_cell_length_c 10.768
_cell_angle_alpha 90.00
_cell_angle_beta 90.00
_cell_angle_gamma 90.00
_symmetry_space_group_name_H-M 'P n m a'
_symmetry_Int_Tables_number 62
loop_
_symmetry_equiv_pos_as_xyz
'x,y,z'
'-x,-y,-z'
'-x+1/2,-y,z+1/2'
'x+1/2,y,-z+1/2'
'x+1/2,-y+1/2,-z+1/2'
'-x+1/2,y+1/2,z+1/2'
'-x,y+1/2,-z'
'x,-y+1/2,z'
loop_
_atom_site_label
_atom_site_fract_x
_atom_site_fract_y
_atom_site_fract_z
Tb1 0.013 0.250 0.187
Tb2 0.195 0.250 0.500
Se1 0.044 0.750 0.376
Se2 0.120 0.250 0.943
Se3 0.227 0.750 0.699


# Tb3Se4 | the Alexandria database | SCAN | single point on PBEsol structure
# total magnetization: 0.0 μB per formula unit
# calculated total energy: -938.22 eV per cell
data_Tb3Se4
_chemical_formula_sum 'Tb12 Se16'
_cell_length_a 8.566
_cell_length_b 8.566
_cell_length_c 8.566
_cell_angle_alpha 90.00
_cell_angle_beta 90.00
_cell_angle_gamma 90.00
_symmetry_space_group_name_H-M 'I -4 3 d'
_symmetry_Int_Tables_number 220
_symmetry_space_group_name_Hall 'I -4bd 2c 3'
loop_
_atom_site_label
_atom_site_fract_x
_atom_site_fract_y
_atom_site_fract_z
Tb1 0.000 0.250 0.875
Se1 0.074 0.426 0.574


# TbSe2 | the Alexandria database | SCAN | single point on PBEsol structure
# total magnetization: 0.0 μB per formula unit
# calculated total energy: -184.39 eV per cell
data_TbSe2
_chemical_formula_sum 'Tb2 Se4'
_cell_length_a 4.020
_cell_length_b 4.020
_cell_length_c 8.229
_cell_angle_alpha 90.00
_cell_angle_beta 90.00
_cell_angle_gamma 90.00
_symmetry_space_group_name_H-M 'P 4/n m m'
_symmetry_Int_Tables_number 129
loop_
_symmetry_equiv_pos_as_xyz
'x,y,z'
'-x,-y,-z'
'-y+1/2,x,z'
'y+1/2,-x,-z'
'-x+1/2,-y+1/2,z'
'x+1/2,y+1/2,-z'
'y,-x+1/2,z'
'-y,x+1/2,-z'
'x+1/2,-y,-z'
'-x+1/2,y,z'
'-y,-x,-z'
'y,x,z'
'-x,y+1/2,-z'
'x,-y+1/2,z'
'y+1/2,x+1/2,-z'
'-y+1/2,-x+1/2,z'
loop_
_atom_site_label
_atom_site_fract_x
_atom_site_fract_y
_atom_site_fract_z
Tb1 0.250 0.250 0.227
Se1 0.250 0.250 0.869
Se2 0.250 0.750 0.500


# TbSe | the Alexandria database | SCAN | single point on PBEsol structure
# total magnetization: 0.0 μB per formula unit
# calculated total energy: -141.26 eV per cell
data_TbSe
_chemical_formula_sum 'Tb2 Se2'
_cell_length_a 3.8869
_cell_length_b 3.8869
_cell_length_c 7.2375
_cell_angle_alpha 90.00
_cell_angle_beta 90.00
_cell_angle_gamma 120.00
_symmetry_space_group_name_H-M 'P 63/m m c'
_symmetry_Int_Tables_number 194
_symmetry_space_group_name_Hall '-P 6c 2c'
loop_
_atom_site_label
_atom_site_fract_x
_atom_site_fract_y
_atom_site_fract_z
Tb1 0.0000 0.0000 0.0000
Se1 0.3333 0.6667 0.2500


# Tb2Se3 | the Alexandria database | SCAN | single point on PBEsol structure
# total magnetization: 0.0 μB per formula unit
# calculated total energy: -2625.69 eV per cell
data_Tb2Se3
_chemical_formula_sum 'Tb32 Se48'
_cell_length_a 8.560
_cell_length_b 8.560
_cell_length_c 25.711
_cell_angle_alpha 90.00
_cell_angle_beta 90.00
_cell_angle_gamma 90.00
_symmetry_space_group_name_H-M 'I -4 2 d'
_symmetry_Int_Tables_number 122
_symmetry_space_group_name_Hall 'I -4 2bw'
loop_
_atom_site_label
_atom_site_fract_x
_atom_site_fract_y
_atom_site_fract_z
Tb1 0.000 0.000 0.167
Tb2 0.119 0.250 0.625
Tb3 0.133 0.242 0.290
Se1 0.072 0.175 0.067
Se2 0.073 0.180 0.396
Se3 0.079 0.176 0.734


# Tc4Se | the Alexandria database | SCAN | single point on PBEsol structure
# total magnetization: 0.0 μB per formula unit
# calculated total energy: -308.28 eV per cell
data_Tc4Se
_chemical_formula_sum 'Tc8 Se2'
_cell_length_a 5.503
_cell_length_b 5.503
_cell_length_c 5.503
_cell_angle_alpha 90.00
_cell_angle_beta 90.00
_cell_angle_gamma 90.00
_symmetry_space_group_name_H-M 'I m -3 m'
_symmetry_Int_Tables_number 229
_symmetry_space_group_name_Hall '-I 4 2 3'
loop_
_atom_site_label
_atom_site_fract_x
_atom_site_fract_y
_atom_site_fract_z
Tc1 0.250 0.250 0.250
Se1 0.000 0.000 0.000


# Tc3Se | the Alexandria database | SCAN | single point on PBEsol structure
# total magnetization: 0.0 μB per formula unit
# calculated total energy: -249.11 eV per cell
data_Tc3Se
_chemical_formula_sum 'Tc6 Se2'
_cell_length_a 2.935
_cell_length_b 4.350
_cell_length_c 8.789
_cell_angle_alpha 90.00
_cell_angle_beta 90.00
_cell_angle_gamma 90.00
_symmetry_space_group_name_H-M 'I m m m'
_symmetry_Int_Tables_number 71
_symmetry_space_group_name_Hall '-I 2 2'
loop_
_atom_site_label
_atom_site_fract_x
_atom_site_fract_y
_atom_site_fract_z
Tc1 0.000 0.000 0.000
Tc2 0.000 0.500 0.225
Se1 0.000 0.000 0.500


# TcSe3 | the Alexandria database | SCAN | single point on PBEsol structure
# total magnetization: 0.0 μB per formula unit
# calculated total energy: -92.16 eV per cell
data_TcSe3
_chemical_formula_sum 'Tc1 Se3'
_cell_length_a 4.597
_cell_length_b 4.597
_cell_length_c 3.156
_cell_angle_alpha 90.00
_cell_angle_beta 90.00
_cell_angle_gamma 90.00
_symmetry_space_group_name_H-M 'P 4/m m m'
_symmetry_Int_Tables_number 123
_symmetry_space_group_name_Hall '-P 4 2'
loop_
_atom_site_label
_atom_site_fract_x
_atom_site_fract_y
_atom_site_fract_z
Tc1 0.000 0.000 0.000
Se1 0.000 0.500 0.500
Se2 0.500 0.500 0.000


# TcSe3 | the Alexandria database | SCAN | single point on PBEsol structure
# total magnetization: 0.0 μB per formula unit
# calculated total energy: -370.22 eV per cell
data_TcSe3
_chemical_formula_sum 'Tc4 Se12'
_cell_length_a 6.426
_cell_length_b 6.426
_cell_length_c 6.426
_cell_angle_alpha 90.00
_cell_angle_beta 90.00
_cell_angle_gamma 90.00
_symmetry_space_group_name_H-M 'F m -3 m'
_symmetry_Int_Tables_number 225
_symmetry_space_group_name_Hall '-F 4 2 3'
loop_
_atom_site_label
_atom_site_fract_x
_atom_site_fract_y
_atom_site_fract_z
Tc1 0.000 0.000 0.000
Se1 0.000 0.000 0.500
Se2 0.250 0.250 0.250


# TcSe3 | the Alexandria database | SCAN | single point on PBEsol structure
# total magnetization: 0.0 μB per formula unit
# calculated total energy: -187.41 eV per cell
data_TcSe3
_chemical_formula_sum 'Tc2 Se6'
_cell_length_a 3.015
_cell_length_b 4.832
_cell_length_c 10.187
_cell_angle_alpha 90.00
_cell_angle_beta 90.00
_cell_angle_gamma 90.00
_symmetry_space_group_name_H-M 'C m m m'
_symmetry_Int_Tables_number 65
_symmetry_space_group_name_Hall '-C 2 2'
loop_
_atom_site_label
_atom_site_fract_x
_atom_site_fract_y
_atom_site_fract_z
Tc1 0.000 0.000 0.000
Se1 0.000 0.000 0.500
Se2 0.000 0.500 0.200


# Tc5Se | the Alexandria database | SCAN | single point on PBEsol structure
# total magnetization: 0.0 μB per formula unit
# calculated total energy: -389.29 eV per cell
data_Tc5Se
_chemical_formula_sum 'Tc10 Se2'
_cell_length_a 9.923
_cell_length_b 2.848
_cell_length_c 6.359
_cell_angle_alpha 90.00
_cell_angle_beta 107.24
_cell_angle_gamma 90.00
_symmetry_space_group_name_H-M 'C 1 m 1'
_symmetry_Int_Tables_number 8
loop_
_symmetry_equiv_pos_as_xyz
'x,y,z'
'x,-y,z'
'x+1/2,y+1/2,z'
'x+1/2,-y+1/2,z'
loop_
_atom_site_label
_atom_site_fract_x
_atom_site_fract_y
_atom_site_fract_z
Tc1 0.000 0.000 0.000
Tc2 0.047 0.000 0.639
Tc3 0.125 0.500 0.352
Tc4 0.218 0.500 0.958
Tc5 0.322 0.000 0.661
Se1 0.359 0.000 0.286


# TlTcSe2 | the Alexandria database | SCAN | single point on PBEsol structure
# total magnetization: 0.0 μB per formula unit
# calculated total energy: -297.97 eV per cell
data_TlTcSe2
_chemical_formula_sum 'Tl2 Tc2 Se4'
_cell_length_a 5.938
_cell_length_b 3.262
_cell_length_c 9.564
_cell_angle_alpha 90.00
_cell_angle_beta 101.19
_cell_angle_gamma 90.00
_symmetry_space_group_name_H-M 'P 1 21 1'
_symmetry_Int_Tables_number 4
loop_
_symmetry_equiv_pos_as_xyz
'x,y,z'
'-x,y+1/2,-z'
loop_
_atom_site_label
_atom_site_fract_x
_atom_site_fract_y
_atom_site_fract_z
Tl1 0.239 0.000 0.468
Tc1 0.303 0.514 0.998
Se1 0.116 0.014 0.140
Se2 0.366 0.015 0.812